# CaVSi4H6O15 (PBE+U, relaxed)
data_CaVSi4H6O15
_space_group_name_H-M_alt 'P 1'
_space_group_IT_number 1
_cell_length_a 8.742
_cell_length_b 8.742
_cell_length_c 9.159
_cell_angle_alpha 90.00
_cell_angle_beta 90.00
_cell_angle_gamma 73.47
loop_
_space_group_symop_operation_xyz
'x,y,z'
loop_
_atom_site_label
_atom_site_fract_x
_atom_site_fract_y
_atom_site_fract_z
Ca1 0.239 0.761 0.500
Ca2 0.761 0.239 0.000
V1 0.047 0.953 0.180
V2 0.953 0.047 0.680
Si1 0.066 0.355 0.805
Si2 0.102 0.313 0.144
Si3 0.313 0.102 0.644
Si4 0.355 0.066 0.305
Si5 0.645 0.934 0.805
Si6 0.687 0.898 0.144
Si7 0.898 0.687 0.644
Si8 0.934 0.645 0.305
H1 0.242 0.429 0.551
H2 0.360 0.640 0.034
H3 0.378 0.622 0.829
H4 0.395 0.449 0.469
H5 0.429 0.242 0.051
H6 0.449 0.395 0.969
H7 0.551 0.605 0.469
H8 0.571 0.758 0.551
H9 0.605 0.551 0.969
H10 0.622 0.378 0.329
H11 0.640 0.360 0.534
H12 0.758 0.571 0.051
O1 0.005 0.178 0.148
O2 0.017 0.469 0.240
O3 0.043 0.771 0.295
O4 0.113 0.371 0.975
O5 0.122 0.878 0.026
O6 0.178 0.005 0.648
O7 0.228 0.283 0.705
O8 0.229 0.957 0.295
O9 0.271 0.489 0.470
O10 0.283 0.228 0.205
O11 0.350 0.650 0.711
O12 0.371 0.113 0.475
O13 0.427 0.573 0.959
O14 0.469 0.017 0.740
O15 0.489 0.271 0.970
O16 0.511 0.729 0.470
O17 0.531 0.983 0.240
O18 0.573 0.427 0.459
O19 0.629 0.887 0.975
O20 0.650 0.350 0.211
O21 0.717 0.772 0.705
O22 0.729 0.511 0.970
O23 0.771 0.043 0.795
O24 0.772 0.717 0.205
O25 0.822 0.995 0.148
O26 0.878 0.122 0.526
O27 0.887 0.629 0.475
O28 0.957 0.229 0.795
O29 0.983 0.531 0.740
O30 0.995 0.822 0.648
# Electronic total energy ... -6.630 eV per atom
# Crystal system ... orthorhombic
# Spin magnetization ... 2.0 Bohr magnetons per cell